! ScBeSe2N (GGA-PBE, optimized geometry); values from VASP
&SYSTEM
  ibrav = 0, nat = 5, ntyp = 4
/
ATOMIC_SPECIES
Sc 44.96 Sc.upf
Be 9.01 Be.upf
Se 78.96 Se.upf
N 14.01 N.upf
ATOMIC_POSITIONS angstrom
Sc 2.4545 2.4545 1.6215
Be 0.0000 0.0000 0.0000
Se 0.0000 2.4545 0.0000
Se 2.4545 0.0000 0.0000
N 0.0000 0.0000 1.6215
CELL_PARAMETERS angstrom
4.9090 0.0000 0.0000
0.0000 4.9090 0.0000
0.0000 0.0000 3.2431
! - E (eV for the cell shown) = -26.417
! - M_tot (μB/cell) = 0.00
! - excess energy over the best structure of this formula in the dataset (kJ/mol of formula units) = 0
! - V (Å³/atom) = 15.6
! - theoretical density (Mg/m³) = 4.8
! - uncorrected formation energy (eV per formula unit) = -1.06


! ScBeSe2N (GGA-PBE, optimized geometry); values from VASP
&SYSTEM
  ibrav = 0, nat = 5, ntyp = 4
/
ATOMIC_SPECIES
Sc 44.96 Sc.upf
Be 9.01 Be.upf
Se 78.96 Se.upf
N 14.01 N.upf
ATOMIC_POSITIONS angstrom
Sc 0.0000 0.0000 0.0000
Be -3.1681 -2.0508 -1.8427
Se -0.7468 -2.4617 0.3614
Se -0.5142 -0.2165 -2.5371
N -1.9071 0.6275 0.3330
CELL_PARAMETERS angstrom
-1.0284 -0.4331 -5.0742
-1.4936 -4.9234 0.7229
-3.8143 1.2549 0.6660
! - E (eV for the cell shown) = -22.897
! - M_tot (μB/cell) = 1.74
! - excess energy over the best structure of this formula in the dataset (kJ/mol of formula units) = 340
! - V (Å³/atom) = 22.0
! - theoretical density (Mg/m³) = 3.4
! - uncorrected formation energy (eV per formula unit) = 2.45


! ScBeTeN2 (GGA-PBE, optimized geometry); values from VASP
&SYSTEM
  ibrav = 0, nat = 5, ntyp = 4
/
ATOMIC_SPECIES
Sc 44.96 Sc.upf
Be 9.01 Be.upf
Te 127.60 Te.upf
N 14.01 N.upf
ATOMIC_POSITIONS angstrom
Sc 1.8922 1.8922 2.5796
Be 0.0000 0.0000 0.0000
Te 0.0000 0.0000 2.5796
N 0.0000 1.8922 0.0000
N 1.8922 0.0000 0.0000
CELL_PARAMETERS angstrom
3.7844 0.0000 0.0000
0.0000 3.7844 0.0000
0.0000 0.0000 5.1592
! - E (eV for the cell shown) = -26.272
! - M_tot (μB/cell) = 0.00
! - excess energy over the best structure of this formula in the dataset (kJ/mol of formula units) = 0
! - V (Å³/atom) = 14.8
! - theoretical density (Mg/m³) = 4.7
! - uncorrected formation energy (eV per formula unit) = 3.58


! ScBe2TeN (GGA-PBE, optimized geometry); values from VASP
&SYSTEM
  ibrav = 0, nat = 5, ntyp = 4
/
ATOMIC_SPECIES
Sc 44.96 Sc.upf
Be 9.01 Be.upf
Te 127.60 Te.upf
N 14.01 N.upf
ATOMIC_POSITIONS angstrom
Sc 0.0000 0.0000 2.3147
Be 0.0000 1.9240 0.0000
Be 1.9240 0.0000 0.0000
Te 1.9240 1.9240 2.3147
N 0.0000 0.0000 0.0000
CELL_PARAMETERS angstrom
3.8480 0.0000 0.0000
0.0000 3.8480 0.0000
0.0000 0.0000 4.6294
! - E (eV for the cell shown) = -26.424
! - M_tot (μB/cell) = 0.00
! - V (Å³/atom) = 13.7
! - theoretical density (Mg/m³) = 5.0
! - uncorrected formation energy (eV per formula unit) = -1.17


! ScBeTe2N (GGA-PBE, optimized geometry); values from VASP
&SYSTEM
  ibrav = 0, nat = 5, ntyp = 4
/
ATOMIC_SPECIES
Sc 44.96 Sc.upf
Be 9.01 Be.upf
Te 127.60 Te.upf
N 14.01 N.upf
ATOMIC_POSITIONS angstrom
Sc 2.7783 2.7783 1.5568
Be 0.0000 0.0000 0.0000
Te 0.0000 2.7783 0.0000
Te 2.7783 0.0000 0.0000
N 0.0000 0.0000 1.5568
CELL_PARAMETERS angstrom
5.5565 0.0000 0.0000
0.0000 5.5565 0.0000
0.0000 0.0000 3.1136
! - E (eV for the cell shown) = -25.007
! - M_tot (μB/cell) = 0.00
! - excess energy over the best structure of this formula in the dataset (kJ/mol of formula units) = 0
! - V (Å³/atom) = 19.2
! - theoretical density (Mg/m³) = 5.6
! - uncorrected formation energy (eV per formula unit) = -0.34


! ScBeTeN2 (GGA-PBE, optimized geometry); values from VASP
&SYSTEM
  ibrav = 0, nat = 5, ntyp = 4
/
ATOMIC_SPECIES
Sc 44.96 Sc.upf
Be 9.01 Be.upf
Te 127.60 Te.upf
N 14.01 N.upf
ATOMIC_POSITIONS angstrom
Sc 0.0000 0.0000 0.0000
Be 1.9978 1.9978 3.0956
Te 0.0000 0.0000 3.0956
N 0.0000 1.9978 0.0000
N 1.9978 0.0000 0.0000
CELL_PARAMETERS angstrom
3.9955 0.0000 0.0000
0.0000 3.9955 0.0000
0.0000 0.0000 6.1911
! - E (eV for the cell shown) = -25.464
! - M_tot (μB/cell) = 0.58
! - excess energy over the best structure of this formula in the dataset (kJ/mol of formula units) = 78
! - V (Å³/atom) = 19.8
! - theoretical density (Mg/m³) = 3.5
! - uncorrected formation energy (eV per formula unit) = 4.39


! ScBeTe2N (GGA-PBE, optimized geometry); values from VASP
&SYSTEM
  ibrav = 0, nat = 5, ntyp = 4
/
ATOMIC_SPECIES
Sc 44.96 Sc.upf
Be 9.01 Be.upf
Te 127.60 Te.upf
N 14.01 N.upf
ATOMIC_POSITIONS angstrom
Sc 0.0000 0.0000 0.0000
Be 2.8487 2.8487 1.9317
Te 0.0000 2.8487 0.0000
Te 2.8487 0.0000 0.0000
N 0.0000 0.0000 1.9317
CELL_PARAMETERS angstrom
5.6974 0.0000 0.0000
0.0000 5.6974 0.0000
0.0000 0.0000 3.8634
! - E (eV for the cell shown) = -21.700
! - M_tot (μB/cell) = 0.00
! - excess energy over the best structure of this formula in the dataset (kJ/mol of formula units) = 319
! - V (Å³/atom) = 25.1
! - theoretical density (Mg/m³) = 4.3
! - uncorrected formation energy (eV per formula unit) = 2.97


! ScTi2BeN (GGA-PBE, optimized geometry); values from VASP
&SYSTEM
  ibrav = 0, nat = 5, ntyp = 4
/
ATOMIC_SPECIES
Sc 44.96 Sc.upf
Be 9.01 Be.upf
N 14.01 N.upf
Ti 47.87 Ti.upf
ATOMIC_POSITIONS angstrom
Sc -0.4880 0.6514 1.9861
Be -0.6065 -2.0988 2.8590
N 0.0000 0.0000 0.0000
Ti 1.3456 -1.3307 0.7671
Ti -1.4641 -1.4195 0.1058
CELL_PARAMETERS angstrom
-2.9283 -2.8389 0.2117
2.6912 -2.6615 1.5341
-0.9759 1.3028 3.9722
! - E (eV for the cell shown) = -37.886
! - M_tot (μB/cell) = 0.00
! - V (Å³/atom) = 14.3
! - theoretical density (Mg/m³) = 3.8
! - uncorrected formation energy (eV per formula unit) = -3.71


! Sc2TiBeN (GGA-PBE, optimized geometry); values from VASP
&SYSTEM
  ibrav = 0, nat = 5, ntyp = 4
/
ATOMIC_SPECIES
Sc 44.96 Sc.upf
Be 9.01 Be.upf
N 14.01 N.upf
Ti 47.87 Ti.upf
ATOMIC_POSITIONS angstrom
Sc 0.3888 -1.7135 -1.2641
Sc -0.6417 -1.3195 1.5913
Be 1.6763 -3.1175 1.0351
N 0.0000 0.0000 0.0000
Ti 1.9292 -0.0845 0.7079
CELL_PARAMETERS angstrom
-1.2834 -2.6391 3.1825
0.7777 -3.4269 -2.5281
3.8584 -0.1689 1.4158
! - E (eV for the cell shown) = -36.358
! - M_tot (μB/cell) = 0.00
! - V (Å³/atom) = 15.4
! - theoretical density (Mg/m³) = 3.5
! - uncorrected formation energy (eV per formula unit) = -3.75


! Sc2BeZnN (GGA-PBE, optimized geometry); values from VASP
&SYSTEM
  ibrav = 0, nat = 5, ntyp = 4
/
ATOMIC_SPECIES
Sc 44.96 Sc.upf
Be 9.01 Be.upf
Zn 65.41 Zn.upf
N 14.01 N.upf
ATOMIC_POSITIONS angstrom
Sc 0.0000 2.2796 0.0000
Sc 2.2796 0.0000 0.0000
Be 0.0000 0.0000 1.6960
Zn 2.2796 2.2796 1.6960
N 0.0000 0.0000 0.0000
CELL_PARAMETERS angstrom
4.5592 0.0000 0.0000
0.0000 4.5592 0.0000
0.0000 0.0000 3.3921
! - E (eV for the cell shown) = -29.803
! - M_tot (μB/cell) = 0.00
! - V (Å³/atom) = 14.1
! - theoretical density (Mg/m³) = 4.2
! - uncorrected formation energy (eV per formula unit) = -3.81


! ZrSc2BeN (GGA-PBE, optimized geometry); values from VASP
&SYSTEM
  ibrav = 0, nat = 5, ntyp = 4
/
ATOMIC_SPECIES
Sc 44.96 Sc.upf
Be 9.01 Be.upf
Zr 91.22 Zr.upf
N 14.01 N.upf
ATOMIC_POSITIONS angstrom
Sc 1.9906 -0.4271 0.7405
Sc -0.3210 -2.1127 -0.3556
Be 0.8553 -2.7629 2.4448
Zr -0.8142 -0.2230 2.0599
N 0.0000 0.0000 0.0000
CELL_PARAMETERS angstrom
-0.6421 -4.2255 -0.7113
3.9811 -0.8543 1.4811
-1.6284 -0.4461 4.1198
! - E (eV for the cell shown) = -36.977
! - M_tot (μB/cell) = 0.00
! - V (Å³/atom) = 16.7
! - theoretical density (Mg/m³) = 4.1
! - uncorrected formation energy (eV per formula unit) = -3.71


! BeSe2N2 (GGA-PBE, optimized geometry); values from VASP
&SYSTEM
  ibrav = 0, nat = 5, ntyp = 3
/
ATOMIC_SPECIES
Be 9.01 Be.upf
Se 78.96 Se.upf
N 14.01 N.upf
ATOMIC_POSITIONS angstrom
Be 0.0000 0.0000 0.0000
Se -4.3182 -1.0635 0.4920
Se -2.8694 -0.2778 2.3522
N -0.4066 -1.5681 -0.6812
N -1.0422 0.7824 -1.1789
CELL_PARAMETERS angstrom
-2.0844 1.5648 -2.3579
-0.8132 -3.1362 -1.3625
-5.7387 -0.5557 4.7044
! - E (eV for the cell shown) = -21.304
! - M_tot (μB/cell) = 1.49
! - excess energy over the best structure of this formula in the dataset (kJ/mol of formula units) = 0
! - V (Å³/atom) = 18.4
! - theoretical density (Mg/m³) = 3.5
! - uncorrected formation energy (eV per formula unit) = 6.04


Look up the V of the eleventh one. 16.7 Å³/atom


Which of these has the highest theoretical density? number 5


What is the M_tot in the seventh record? 0.00 μB/cell


The lowest uncorrected formation energy belongs to which entry? Sc2BeZnN